The following is a GGA-PBE calculation of a relaxed LiTlInS2 crystal, from Alexandria via LeMat-Bulk.

Cell: 7.1844 5.6197 7.0851 Å, 90.00 109.64 90.00°
Element x y z (fractional)
Li 0.0000 0.0000 0.0000
Li 0.0000 0.0000 0.5000
Tl 0.5000 0.2762 0.2500
Tl 0.5000 0.7238 0.7500
In 0.0000 0.4260 0.7500
In 0.0000 0.5740 0.2500
S 0.2318 0.2973 0.5159
S 0.2318 0.7027 0.0159
S 0.7682 0.2973 0.9841
S 0.7682 0.7027 0.4841

Calculated values
- Calculated density: 4.81 g/cm³
- Space group: P2/c, No. 13
- D(E_F): 2.55 states/eV/f.u.
- Formation energy (no corrections): -11.06 kcal/mol of atoms
- Volume: 26.9 A^3/atom